VASP calculation (GGA-PBEsol) on Ge3MoS after structural relaxation.

Structure (CIF):
```
data_Ge3MoS
_chemical_formula_sum 'Ge3 Mo1 S1'
_cell_length_a 4.6193
_cell_length_b 4.6193
_cell_length_c 4.6193
_cell_angle_alpha 90.00
_cell_angle_beta 90.00
_cell_angle_gamma 90.00
_space_group_name_H-M_alt 'P m -3 m'
_space_group_IT_number 221
_space_group_name_Hall '-P 4 2 3'
loop_
_atom_site_label
_atom_site_type_symbol
_atom_site_fract_x
_atom_site_fract_y
_atom_site_fract_z
_atom_site_occupancy
Ge1 Ge 0.0000 0.0000 0.5000 1
Mo1 Mo 0.5000 0.5000 0.5000 1
S1 S 0.0000 0.0000 0.0000 1
```

E_form (uncorrected): 1.11 eV per atom
theoretical density: 5.83 Mg/m³
crystal system: cubic
offset from the most stable computed form: 521 meV per atom


VASP calculation (GGA-PBEsol) on ZnAg2Pt after structural relaxation.

Structure (CIF):
```
data_ZnAg2Pt
_chemical_formula_sum 'Zn2 Ag4 Pt2'
_cell_length_a 2.8303
_cell_length_b 4.7058
_cell_length_c 9.2698
_cell_angle_alpha 90.00
_cell_angle_beta 90.00
_cell_angle_gamma 90.00
_space_group_name_H-M_alt 'C m m m'
_space_group_IT_number 65
_space_group_name_Hall '-C 2 2'
loop_
_atom_site_label
_atom_site_type_symbol
_atom_site_fract_x
_atom_site_fract_y
_atom_site_fract_z
_atom_site_occupancy
Zn1 Zn 0.0000 0.0000 0.0000 1
Ag1 Ag 0.0000 0.5000 0.2418 1
Pt1 Pt 0.0000 0.0000 0.5000 1
```

DFT formation energy: -14 meV per atom
theoretical density: 12.81 Mg/m³
crystal system: orthorhombic


VASP calculation (GGA-PBEsol) on As2RuIBr after structural relaxation.

Structure (CIF):
```
data_As2RuIBr
_chemical_formula_sum 'As2 Ru1 I1 Br1'
_cell_length_a 4.7728
_cell_length_b 4.7728
_cell_length_c 5.0705
_cell_angle_alpha 90.00
_cell_angle_beta 90.00
_cell_angle_gamma 90.00
_space_group_name_H-M_alt 'P 4/m m m'
_space_group_IT_number 123
_space_group_name_Hall '-P 4 2'
loop_
_atom_site_label
_atom_site_type_symbol
_atom_site_fract_x
_atom_site_fract_y
_atom_site_fract_z
_atom_site_occupancy
As1 As 0.0000 0.5000 0.0000 1
Ru1 Ru 0.0000 0.0000 0.0000 1
I1 I 0.5000 0.5000 0.5000 1
Br1 Br 0.0000 0.0000 0.5000 1
```

E_form (uncorrected): 0.31 eV per atom
theoretical density: 6.58 Mg/m³
crystal system: tetragonal


VASP calculation (GGA-PBEsol) on Li2VSiO4 after structural relaxation.

Structure (CIF):
```
data_Li2VSiO4
_chemical_formula_sum 'Li4 V2 Si2 O8'
_cell_length_a 4.5215
_cell_length_b 5.8029
_cell_length_c 7.6819
_cell_angle_alpha 90.00
_cell_angle_beta 125.97
_cell_angle_gamma 90.00
_space_group_name_H-M_alt 'P 1 c 1'
_space_group_IT_number 7
loop_
_space_group_symop_operation_xyz
'x,y,z'
'x,-y,z+1/2'
loop_
_atom_site_label
_atom_site_type_symbol
_atom_site_fract_x
_atom_site_fract_y
_atom_site_fract_z
_atom_site_occupancy
Li1 Li 0.0000 0.1533 0.0000 1
Li2 Li 0.7392 0.3092 0.2379 1
V1 V 0.2865 0.3592 0.7604 1
Si1 Si 0.4695 0.1631 0.4984 1
O1 O 0.1102 0.1599 0.5032 1
O2 O 0.3478 0.3027 0.2786 1
O3 O 0.5685 0.1065 0.9920 1
O4 O 0.7769 0.3152 0.7179 1
```

E_form (uncorrected): -2.18 eV per atom
theoretical density: 3.19 Mg/m³
crystal system: monoclinic


VASP calculation (GGA-PBEsol) on TlPtW2 after structural relaxation.

Structure (CIF):
```
data_TlPtW2
_chemical_formula_sum 'Tl2 Pt2 W4'
_cell_length_a 3.9564
_cell_length_b 4.1504
_cell_length_c 8.1171
_cell_angle_alpha 90.00
_cell_angle_beta 90.00
_cell_angle_gamma 90.00
_space_group_name_H-M_alt 'I m m 2'
_space_group_IT_number 44
loop_
_space_group_symop_operation_xyz
'x,y,z'
'-x,-y,z'
'-x,y,z'
'x,-y,z'
'x+1/2,y+1/2,z+1/2'
'-x+1/2,-y+1/2,z+1/2'
'-x+1/2,y+1/2,z+1/2'
'x+1/2,-y+1/2,z+1/2'
loop_
_atom_site_label
_atom_site_type_symbol
_atom_site_fract_x
_atom_site_fract_y
_atom_site_fract_z
_atom_site_occupancy
Tl1 Tl 0.0000 0.0000 0.0000 1
Pt1 Pt 0.0000 0.5000 0.2474 1
W1 W 0.0000 0.0000 0.4848 1
W2 W 0.0000 0.5000 0.7554 1
```

DFT formation energy: 537 meV per atom
theoretical density: 19.11 Mg/m³
crystal system: orthorhombic
offset from the most stable computed form: 0 meV per atom


VASP calculation (GGA-PBEsol) on Al2SeCl after structural relaxation.

Structure (CIF):
```
data_Al2SeCl
_chemical_formula_sum 'Al8 Se4 Cl4'
_cell_length_a 7.1296
_cell_length_b 7.1296
_cell_length_c 6.6157
_cell_angle_alpha 90.00
_cell_angle_beta 90.00
_cell_angle_gamma 90.00
_space_group_name_H-M_alt 'I -4 2 d'
_space_group_IT_number 122
_space_group_name_Hall 'I -4 2bw'
loop_
_atom_site_label
_atom_site_type_symbol
_atom_site_fract_x
_atom_site_fract_y
_atom_site_fract_z
_atom_site_occupancy
Al1 Al 0.2380 0.2500 0.1250 1
Se1 Se 0.0000 0.0000 0.0000 1
Cl1 Cl 0.0000 0.0000 0.5000 1
```

E_form (uncorrected): -0.20 eV per atom
theoretical density: 3.33 Mg/m³
crystal system: tetragonal
offset from the most stable computed form: 196 meV per atom


VASP calculation (GGA-PBEsol) on SbAsCl after structural relaxation.

Structure (CIF):
```
data_SbAsCl
_chemical_formula_sum 'Sb2 As2 Cl2'
_cell_length_a 3.7499
_cell_length_b 3.7499
_cell_length_c 13.0521
_cell_angle_alpha 90.00
_cell_angle_beta 90.00
_cell_angle_gamma 90.00
_space_group_name_H-M_alt 'I 4 m m'
_space_group_IT_number 107
_space_group_name_Hall 'I 4 -2'
loop_
_atom_site_label
_atom_site_type_symbol
_atom_site_fract_x
_atom_site_fract_y
_atom_site_fract_z
_atom_site_occupancy
Sb1 Sb 0.0000 0.0000 0.0000 1
As1 As 0.0000 0.0000 0.5648 1
Cl1 Cl 0.0000 0.0000 0.8184 1
```

E_form (uncorrected): -0.10 eV per atom
theoretical density: 4.20 Mg/m³
crystal system: tetragonal


VASP calculation (GGA-PBEsol) on Li4Mn5SbO12 after structural relaxation.

Structure (CIF):
```
data_Li4Mn5SbO12
_chemical_formula_sum 'Li8 Mn10 Sb2 O24'
_cell_length_a 5.5549
_cell_length_b 8.5871
_cell_length_c 10.4637
_cell_angle_alpha 90.00
_cell_angle_beta 99.24
_cell_angle_gamma 90.00
_space_group_name_H-M_alt 'C 1 2/m 1'
_space_group_IT_number 12
loop_
_space_group_symop_operation_xyz
'x,y,z'
'-x,-y,-z'
'-x,y,-z'
'x,-y,z'
'x+1/2,y+1/2,z'
'-x+1/2,-y+1/2,-z'
'-x+1/2,y+1/2,-z'
'x+1/2,-y+1/2,z'
loop_
_atom_site_label
_atom_site_type_symbol
_atom_site_fract_x
_atom_site_fract_y
_atom_site_fract_z
_atom_site_occupancy
Li1 Li 0.2377 0.1781 0.2884 1
Mn1 Mn 0.0000 0.1641 0.5000 1
Mn2 Mn 0.0000 0.3370 0.0000 1
Mn3 Mn 0.0000 0.5000 0.5000 1
Sb1 Sb 0.0000 0.0000 0.0000 1
O1 O 0.0779 0.3278 0.3923 1
O2 O 0.1317 0.0000 0.4045 1
O3 O 0.1652 0.1741 0.1054 1
O4 O 0.1963 0.5000 0.0882 1
```

E_form (uncorrected): -1.67 eV per atom
theoretical density: 4.15 Mg/m³
crystal system: monoclinic


VASP calculation (GGA-PBEsol) on Os2W after structural relaxation.

Structure (CIF):
```
data_Os2W
_chemical_formula_sum 'Os4 W2'
_cell_length_a 3.2318
_cell_length_b 3.2318
_cell_length_c 8.5466
_cell_angle_alpha 90.00
_cell_angle_beta 90.00
_cell_angle_gamma 90.00
_space_group_name_H-M_alt 'I 4/m m m'
_space_group_IT_number 139
_space_group_name_Hall '-I 4 2'
loop_
_atom_site_label
_atom_site_type_symbol
_atom_site_fract_x
_atom_site_fract_y
_atom_site_fract_z
_atom_site_occupancy
Os1 Os 0.0000 0.0000 0.1605 1
W1 W 0.0000 0.0000 0.5000 1
```

DFT formation energy: 510 meV per atom
theoretical density: 20.99 Mg/m³
crystal system: tetragonal
offset from the most stable computed form: 505 meV per atom


VASP calculation (GGA-PBEsol) on LaZr2Cu after structural relaxation.

Structure (CIF):
```
data_LaZr2Cu
_chemical_formula_sum 'La1 Zr2 Cu1'
_cell_length_a 3.2720
_cell_length_b 3.2720
_cell_length_c 8.3614
_cell_angle_alpha 90.00
_cell_angle_beta 90.00
_cell_angle_gamma 90.00
_space_group_name_H-M_alt 'P 4 m m'
_space_group_IT_number 99
loop_
_space_group_symop_operation_xyz
'x,y,z'
'-y,x,z'
'-x,-y,z'
'y,-x,z'
'-x,y,z'
'y,x,z'
'x,-y,z'
'-y,-x,z'
loop_
_atom_site_label
_atom_site_type_symbol
_atom_site_fract_x
_atom_site_fract_y
_atom_site_fract_z
_atom_site_occupancy
La1 La 0.0000 0.0000 0.0000 1
Zr1 Zr 0.0000 0.0000 0.5648 1
Zr2 Zr 0.5000 0.5000 0.3208 1
Cu1 Cu 0.5000 0.5000 0.7426 1
```

DFT formation energy: -12 meV per atom
theoretical density: 7.14 Mg/m³
crystal system: tetragonal
offset from the most stable computed form: 0 meV per atom


VASP calculation (GGA-PBEsol) on Os2RuAu after structural relaxation.

Structure (CIF):
```
data_Os2RuAu
_chemical_formula_sum 'Os6 Ru3 Au3'
_cell_length_a 2.7224
_cell_length_b 2.7224
_cell_length_c 27.1474
_cell_angle_alpha 90.00
_cell_angle_beta 90.00
_cell_angle_gamma 120.00
_space_group_name_H-M_alt 'R 3 m'
_space_group_IT_number 160
_space_group_name_Hall 'R 3 -2"'
loop_
_atom_site_label
_atom_site_type_symbol
_atom_site_fract_x
_atom_site_fract_y
_atom_site_fract_z
_atom_site_occupancy
Os1 Os 0.0000 0.0000 0.0000 1
Os2 Os 0.0000 0.0000 0.2548 1
Ru1 Ru 0.0000 0.0000 0.7447 1
Au1 Au 0.0000 0.0000 0.4990 1
```

DFT formation energy: 257 meV per atom
theoretical density: 19.40 Mg/m³
crystal system: trigonal


VASP calculation (GGA-PBEsol) on KNiP2S after structural relaxation.

Structure (CIF):
```
data_KNiP2S
_chemical_formula_sum 'K1 Ni1 P2 S1'
_cell_length_a 5.0326
_cell_length_b 5.0326
_cell_length_c 5.1099
_cell_angle_alpha 90.00
_cell_angle_beta 90.00
_cell_angle_gamma 90.00
_space_group_name_H-M_alt 'P 4/m m m'
_space_group_IT_number 123
_space_group_name_Hall '-P 4 2'
loop_
_atom_site_label
_atom_site_type_symbol
_atom_site_fract_x
_atom_site_fract_y
_atom_site_fract_z
_atom_site_occupancy
K1 K 0.0000 0.0000 0.0000 1
Ni1 Ni 0.5000 0.5000 0.5000 1
P1 P 0.0000 0.5000 0.0000 1
S1 S 0.0000 0.0000 0.5000 1
```

E_form (uncorrected): 2.28 eV per atom
theoretical density: 2.46 Mg/m³
crystal system: tetragonal


Number 1: density of states at the Fermi level 3.51 states/eV per cell. Number 2: density of states at the Fermi level 2.76 states/eV per cell. Number 3: density of states at the Fermi level 3.28 states/eV per cell. Number 4: density of states at the Fermi level 2.30 states/eV per cell. Number 5: density of states at the Fermi level 5.60 states/eV per cell. Number 6: density of states at the Fermi level 7.47 states/eV per cell. Number 7: density of states at the Fermi level 1.71 states/eV per cell. Number 8: density of states at the Fermi level 8.77 states/eV per cell. Number 9: density of states at the Fermi level 8.96 states/eV per cell. Number 10: density of states at the Fermi level 3.39 states/eV per cell. Number 11: density of states at the Fermi level 9.10 states/eV per cell. Number 12: density of states at the Fermi level 8.98 states/eV per cell.